No. 1
VASP calculation (PBE) on crystalline Y2CdF2 at its relaxed geometry.

Cell: 3.705 3.705 13.967 Å, 90.00 90.00 90.00°
Space group I4/mmm (No. 139)
Symmetry-distinct sites (fractional):
Y 0.000 0.000 0.139
Cd 0.000 0.000 0.500
F 0.000 0.500 0.250

* uncorrected formation energy: -2.26 eV/atom
* volume: 192 Å³ per cell
* total DFT energy (no corrections): -5.77 eV per atom

No. 2
VASP calculation (PBE) on crystalline YCdF6 at its relaxed geometry.

Cell: 3.474 6.974 10.090 Å, 90.00 90.00 90.00°
Space group Amm2 (No. 38)
Symmetry-distinct sites (fractional):
Y 0.000 0.000 0.000
Cd 0.500 0.000 0.522
F 0.000 0.000 0.660
F 0.000 0.189 0.425
F 0.500 0.000 0.862
F 0.500 0.172 0.101

* uncorrected formation energy: -2.72 eV/atom
* volume: 244 Å³ per cell
* total DFT energy (no corrections): -5.05 eV per atom

No. 3
VASP calculation (PBE) on crystalline YCd2F6 at its relaxed geometry.

Cell: 11.827 3.891 7.978 Å, 90.00 125.19 90.00°
Space group C2/m (No. 12)
Symmetry-distinct sites (fractional):
Y 0.000 0.000 0.000
Cd 0.156 0.000 0.599
F 0.042 0.000 0.761
F 0.127 0.500 0.075
F 0.221 0.000 0.344

* uncorrected formation energy: -2.78 eV/atom
* volume: 300 Å³ per cell
* total DFT energy (no corrections): -4.95 eV per atom

No. 4
VASP calculation (PBE) on crystalline Y2CdF8 at its relaxed geometry.

Cell: 14.836 3.663 5.504 Å, 90.00 109.13 90.00°
Space group C2/m (No. 12)
Symmetry-distinct sites (fractional):
Y 0.178 0.000 0.187
Cd 0.000 0.500 0.500
F 0.045 0.000 0.315
F 0.098 0.500 0.950
F 0.181 0.500 0.463
F 0.218 0.000 0.829

* uncorrected formation energy: -3.56 eV/atom
* volume: 283 Å³ per cell
* total DFT energy (no corrections): -6.18 eV per atom

No. 5
VASP calculation (PBE) on crystalline YCdF at its relaxed geometry.

Cell: 3.710 3.710 8.494 Å, 90.00 90.00 90.00°
Space group P4/nmm (No. 129, origin choice 2)
Symmetry-distinct sites (fractional):
Y 0.250 0.250 0.183
Cd 0.250 0.250 0.594
F 0.250 0.750 0.000

* uncorrected formation energy: -1.90 eV/atom
* volume: 117 Å³ per cell
* total DFT energy (no corrections): -4.99 eV per atom

No. 6
VASP calculation (PBE) on crystalline YCd2F at its relaxed geometry.

Cell: 7.153 7.153 7.153 Å, 90.00 90.00 90.00°
Space group Fm-3m (No. 225)
Symmetry-distinct sites (fractional):
Y 0.000 0.000 0.000
Cd 0.250 0.250 0.250
F 0.000 0.000 0.500

* E above lowest polymorph: 0.545 eV/atom
* uncorrected formation energy: -0.48 eV/atom
* volume: 366 Å³ per cell
* total DFT energy (no corrections): -3.02 eV per atom

No. 7
VASP calculation (PBE) on crystalline YCdF3 at its relaxed geometry.

Cell: 4.495 4.495 4.495 Å, 90.00 90.00 90.00°
Space group Pm-3m (No. 221)
Symmetry-distinct sites (fractional):
Y 0.000 0.000 0.000
Cd 0.500 0.500 0.500
F 0.000 0.500 0.500

* E above lowest polymorph: 1.220 eV/atom
* uncorrected formation energy: -1.79 eV/atom
* volume: 91 Å³ per cell
* total DFT energy (no corrections): -4.39 eV per atom

No. 8
VASP calculation (PBE) on crystalline YCdF3 at its relaxed geometry.

Cell: 4.514 4.514 4.514 Å, 90.00 90.00 90.00°
Space group Pm-3m (No. 221)
Symmetry-distinct sites (fractional):
Y 0.000 0.000 0.000
Cd 0.500 0.500 0.500
F 0.000 0.000 0.500

* E above lowest polymorph: 0.000 eV/atom
* uncorrected formation energy: -3.01 eV/atom
* volume: 92 Å³ per cell
* total DFT energy (no corrections): -5.61 eV per atom